# 1
VASP calculation (GGA-PBE) on a relaxed CaPrCuSb crystal.

Properties
ΔE_f (raw) (kJ/mol of formula units): -190
Uncorrected energy (eV per atom): -4.24

Unit cell a=7.496 b=7.496 c=7.496 alpha=90.00 beta=90.00 gamma=90.00
Fractional positions:
Ca: 0.000 0.000 0.000
Ca: 0.000 0.500 0.500
Ca: 0.500 0.000 0.500
Ca: 0.500 0.500 0.000
Pr: 0.000 0.000 0.500
Pr: 0.000 0.500 0.000
Pr: 0.500 0.000 0.000
Pr: 0.500 0.500 0.500
Cu: 0.250 0.250 0.750
Cu: 0.250 0.750 0.250
Cu: 0.750 0.250 0.250
Cu: 0.750 0.750 0.750
Sb: 0.250 0.250 0.250
Sb: 0.250 0.750 0.750
Sb: 0.750 0.250 0.750
Sb: 0.750 0.750 0.250

# 2
VASP calculation (GGA-PBE) on a relaxed ZnAuBr crystal.

Properties
ΔE_f (raw) (kJ/mol of formula units): -45
Uncorrected energy (eV per atom): -2.23

Unit cell a=2.952 b=3.884 c=13.078 alpha=90.00 beta=90.00 gamma=90.00
Fractional positions:
Zn: 0.000 0.000 0.000
Zn: 0.500 0.500 0.500
Au: 0.000 0.000 0.576
Au: 0.500 0.500 0.076
Br: 0.000 0.000 0.811
Br: 0.500 0.500 0.311

# 3
VASP calculation (GGA-PBE) on a relaxed CaThTe6 crystal.

Properties
ΔE_f (raw) (kJ/mol of formula units): -667
Uncorrected energy (eV per atom): -4.40

Unit cell a=4.409 b=4.409 c=27.340 alpha=90.00 beta=90.00 gamma=90.00
Fractional positions:
Ca: 0.000 0.000 0.000
Ca: 0.000 0.500 0.500
Th: 0.500 0.000 0.652
Th: 0.500 0.500 0.152
Te: 0.000 0.000 0.119
Te: 0.000 0.000 0.398
Te: 0.000 0.000 0.743
Te: 0.000 0.500 0.243
Te: 0.000 0.500 0.619
Te: 0.000 0.500 0.898
Te: 0.500 0.000 0.243
Te: 0.500 0.000 0.534
Te: 0.500 0.000 0.898
Te: 0.500 0.500 0.034
Te: 0.500 0.500 0.398
Te: 0.500 0.500 0.743